# Rb2Li2GeCl6, relaxed, DFT PBE
# Size of the total moment in μB/cell: 0.0
# Volume in Å³ per cell: 657.8
# N(E_F) in states/eV/cell: 0.00
# Formation energy from raw total energies in kJ/mol of formula units: -1646.9
data_Rb2Li2GeCl6
_chemical_formula_sum 'Rb4 Li4 Ge2 Cl12'
_space_group_name_H-M_alt 'C 1 2/m 1'
_space_group_IT_number 12
_cell_length_a 12.612
_cell_length_b 7.437
_cell_length_c 7.843
_cell_angle_alpha 90.00
_cell_angle_beta 116.60
_cell_angle_gamma 90.00
loop_
_space_group_symop_operation_xyz
'x,y,z'
'-x,-y,-z'
'-x,y,-z'
'x,-y,z'
'x+1/2,y+1/2,z'
'-x+1/2,-y+1/2,-z'
'-x+1/2,y+1/2,-z'
'x+1/2,-y+1/2,z'
loop_
_atom_site_label
_atom_site_type_symbol
_atom_site_fract_x
_atom_site_fract_y
_atom_site_fract_z
Rb1 Rb 0.207 0.000 0.172
Li1 Li 0.066 0.500 0.273
Ge1 Ge 0.000 0.000 0.500
Cl1 Cl 0.045 0.245 0.781
Cl2 Cl 0.234 0.000 0.611

***

# LiGeSCl2, relaxed, DFT PBE
# Energy above the most stable polymorph in this dataset in meV/atom: 0
# Size of the total moment in μB/cell: 0.0
# Volume in Å³ per cell: 123.0
# N(E_F) in states/eV/cell: 0.93
# Formation energy from raw total energies in kJ/mol of formula units: -284.4
data_LiGeSCl2
_chemical_formula_sum 'Li1 Ge1 S1 Cl2'
_space_group_name_H-M_alt 'P 4/m m m'
_space_group_IT_number 123
_space_group_name_Hall '-P 4 2'
_cell_length_a 5.148
_cell_length_b 5.148
_cell_length_c 4.641
_cell_angle_alpha 90.00
_cell_angle_beta 90.00
_cell_angle_gamma 90.00
loop_
_atom_site_label
_atom_site_type_symbol
_atom_site_fract_x
_atom_site_fract_y
_atom_site_fract_z
Li1 Li 0.000 0.000 0.000
Ge1 Ge 0.500 0.500 0.500
S1 S 0.500 0.500 0.000
Cl1 Cl 0.000 0.500 0.500

***

# LiGeSCl2, relaxed, DFT PBE
# Energy above the most stable polymorph in this dataset in meV/atom: 314
# Size of the total moment in μB/cell: 1.0
# Volume in Å³ per cell: 101.3
# N(E_F) in states/eV/cell: 2.52
# Formation energy from raw total energies in kJ/mol of formula units: -133.1
data_LiGeSCl2
_chemical_formula_sum 'Li1 Ge1 S1 Cl2'
_space_group_name_H-M_alt 'P 4/m m m'
_space_group_IT_number 123
_space_group_name_Hall '-P 4 2'
_cell_length_a 4.522
_cell_length_b 4.522
_cell_length_c 4.951
_cell_angle_alpha 90.00
_cell_angle_beta 90.00
_cell_angle_gamma 90.00
loop_
_atom_site_label
_atom_site_type_symbol
_atom_site_fract_x
_atom_site_fract_y
_atom_site_fract_z
Li1 Li 0.000 0.000 0.000
Ge1 Ge 0.500 0.500 0.500
S1 S 0.000 0.000 0.500
Cl1 Cl 0.000 0.500 0.000

***

# LiGeS2Cl, relaxed, DFT PBE
# Energy above the most stable polymorph in this dataset in meV/atom: 0
# Size of the total moment in μB/cell: 0.0
# Volume in Å³ per cell: 115.4
# N(E_F) in states/eV/cell: 0.58
# Formation energy from raw total energies in kJ/mol of formula units: -143.5
data_LiGeS2Cl
_chemical_formula_sum 'Li1 Ge1 S2 Cl1'
_space_group_name_H-M_alt 'P 4/m m m'
_space_group_IT_number 123
_space_group_name_Hall '-P 4 2'
_cell_length_a 4.681
_cell_length_b 4.681
_cell_length_c 5.265
_cell_angle_alpha 90.00
_cell_angle_beta 90.00
_cell_angle_gamma 90.00
loop_
_atom_site_label
_atom_site_type_symbol
_atom_site_fract_x
_atom_site_fract_y
_atom_site_fract_z
Li1 Li 0.000 0.000 0.000
Ge1 Ge 0.500 0.500 0.500
S1 S 0.000 0.500 0.500
Cl1 Cl 0.500 0.500 0.000

***

# LiGeSCl, relaxed, DFT PBE
# Size of the total moment in μB/cell: 0.0
# Volume in Å³ per cell: 272.5
# N(E_F) in states/eV/cell: 0.00
# Formation energy from raw total energies in kJ/mol of formula units: -370.4
data_LiGeSCl
_chemical_formula_sum 'Li3 Ge3 S3 Cl3'
_space_group_name_H-M_alt 'R 3 m'
_space_group_IT_number 160
_space_group_name_Hall 'R 3 -2"'
_cell_length_a 3.7276
_cell_length_b 3.7276
_cell_length_c 22.6453
_cell_angle_alpha 90.00
_cell_angle_beta 90.00
_cell_angle_gamma 120.00
loop_
_atom_site_label
_atom_site_type_symbol
_atom_site_fract_x
_atom_site_fract_y
_atom_site_fract_z
Li1 Li 0.0000 0.0000 0.0000
Ge1 Ge 0.0000 0.0000 0.1618
S1 S 0.0000 0.0000 0.8859
Cl1 Cl 0.0000 0.0000 0.7027

***

# LiGe2SbCl, relaxed, DFT PBE
# Size of the total moment in μB/cell: 0.0
# Volume in Å³ per cell: 115.5
# N(E_F) in states/eV/cell: 5.65
# Formation energy from raw total energies in kJ/mol of formula units: 202.0
data_LiGe2SbCl
_chemical_formula_sum 'Li1 Ge2 Sb1 Cl1'
_space_group_name_H-M_alt 'P 4/m m m'
_space_group_IT_number 123
_space_group_name_Hall '-P 4 2'
_cell_length_a 4.895
_cell_length_b 4.895
_cell_length_c 4.819
_cell_angle_alpha 90.00
_cell_angle_beta 90.00
_cell_angle_gamma 90.00
loop_
_atom_site_label
_atom_site_type_symbol
_atom_site_fract_x
_atom_site_fract_y
_atom_site_fract_z
Li1 Li 0.000 0.000 0.000
Ge1 Ge 0.000 0.500 0.000
Sb1 Sb 0.000 0.000 0.500
Cl1 Cl 0.500 0.500 0.500

***

# Li2SnGeCl6, relaxed, DFT PBE
# Size of the total moment in μB/cell: 0.0
# Volume in Å³ per cell: 783.4
# N(E_F) in states/eV/cell: 0.00
# Formation energy from raw total energies in kJ/mol of formula units: -1214.2
data_Li2SnGeCl6
_chemical_formula_sum 'Li6 Sn3 Ge3 Cl18'
_space_group_name_H-M_alt 'R 3'
_space_group_IT_number 146
_space_group_name_Hall 'R 3'
_cell_length_a 6.9343
_cell_length_b 6.9343
_cell_length_c 18.8124
_cell_angle_alpha 90.00
_cell_angle_beta 90.00
_cell_angle_gamma 120.00
loop_
_atom_site_label
_atom_site_type_symbol
_atom_site_fract_x
_atom_site_fract_y
_atom_site_fract_z
Li1 Li 0.0000 0.0000 0.0000
Li2 Li 0.0000 0.0000 0.4848
Sn1 Sn 0.0000 0.0000 0.1826
Ge1 Ge 0.0000 0.0000 0.6699
Cl1 Cl 0.0156 0.4088 0.7601
Cl2 Cl 0.0177 0.5889 0.2611

***

# LiTcGe2Cl, relaxed, DFT PBE
# Size of the total moment in μB/cell: 2.3
# Volume in Å³ per cell: 100.1
# N(E_F) in states/eV/cell: 5.48
# Formation energy from raw total energies in kJ/mol of formula units: 336.9
data_LiTcGe2Cl
_chemical_formula_sum 'Li1 Tc1 Ge2 Cl1'
_space_group_name_H-M_alt 'P 4/m m m'
_space_group_IT_number 123
_space_group_name_Hall '-P 4 2'
_cell_length_a 4.999
_cell_length_b 4.999
_cell_length_c 4.005
_cell_angle_alpha 90.00
_cell_angle_beta 90.00
_cell_angle_gamma 90.00
loop_
_atom_site_label
_atom_site_type_symbol
_atom_site_fract_x
_atom_site_fract_y
_atom_site_fract_z
Li1 Li 0.000 0.000 0.000
Tc1 Tc 0.500 0.500 0.000
Ge1 Ge 0.000 0.500 0.500
Cl1 Cl 0.000 0.000 0.500